Record 1
Here is a relaxed Pa2CuRe crystal from Alexandria via LeMat-Bulk. Energies are from PBE.

Unit cell a=3.0362 b=3.0362 c=31.1439 alpha=90.00 beta=90.00 gamma=120.00
Last column: nearest neighbours and their distance in Å.
Space group R-3m (No. 166, hexagonal axes)
Inequivalent atoms, fractional coordinates:
Pa1 0.0000 0.0000 0.0910 x6  1 Cu 2.83, 3 Re 2.94, 6 Pa 3.04
Cu1 0.0000 0.0000 0.0000 x3  2 Pa 2.83, 6 Cu 3.04
Re1 0.0000 0.0000 0.5000 x3  6 Pa 2.94, 6 Re 3.04

Output
**Volume**: 20.720 A^3/atom
**Energy above the most stable polymorph in this dataset**: 0.4358 eV per atom

Record 2
Here is a relaxed Pa2CuRe crystal from Alexandria via LeMat-Bulk. Energies are from PBE.

Unit cell a=6.8896 b=6.8896 c=6.8896 alpha=90.00 beta=90.00 gamma=90.00
Last column: nearest neighbours and their distance in Å.
Space group Fm-3m (No. 225)
Inequivalent atoms, fractional coordinates:
Pa1 0.2500 0.2500 0.2500 x8  4 Re 2.98, 4 Cu 2.98
Cu1 0.0000 0.0000 0.0000 x4  8 Pa 2.98
Re1 0.0000 0.0000 0.5000 x4  8 Pa 2.98

Output
**Volume**: 20.440 A^3/atom
**Energy above the most stable polymorph in this dataset**: 0.0131 eV per atom

Record 3
Here is a relaxed PaCu4Re crystal from Alexandria via LeMat-Bulk. Energies are from PBE.

Unit cell a=7.0469 b=7.0469 c=7.0469 alpha=90.00 beta=90.00 gamma=90.00
Last column: nearest neighbours and their distance in Å.
Space group F-43m (No. 216)
Inequivalent atoms, fractional coordinates:
Pa1 0.0000 0.0000 0.0000 x4  12 Cu 2.92, 4 Re 3.05
Cu1 0.1238 0.1238 0.3762 x16  6 Cu 2.47-2.51
Re1 0.2500 0.2500 0.7500 x4  12 Cu 2.92, 4 Pa 3.05

Output
**Volume**: 14.581 A^3/atom

Values of magnetization, in order: 0.00; 0.00; 0.00, all in μB per formula unit.
Values of DFT total energy, in order: -8.4055; -8.8282; -6.3028, all in eV/atom.
Values of ΔH_f (0 K), in order: 1.9; 0.2; 0.5, all in eV/f.u..